[1]
A relaxed structure of Pu4TeAs2Se, computed with PBE.

The structure in CIF format:
```
data_Pu4TeAs2Se
_chemical_formula_sum 'Pu4 Te1 As2 Se1'
_symmetry_space_group_name_H-M 'P 1 2/m 1'
_symmetry_Int_Tables_number 10
_cell_length_a 7.312
_cell_length_b 4.208
_cell_length_c 7.331
_cell_angle_alpha 90.00
_cell_angle_beta 109.69
_cell_angle_gamma 90.00
loop_
_symmetry_equiv_pos_as_xyz
'x,y,z'
'-x,-y,-z'
'-x,y,-z'
'x,-y,z'
loop_
_atom_site_label
_atom_site_fract_x
_atom_site_fract_y
_atom_site_fract_z
Pu1 0.237 0.000 0.232
Pu2 0.246 0.500 0.761
Te1 0.500 0.500 0.500
As1 0.000 0.500 0.000
As2 0.500 0.000 0.000
Se1 0.000 0.000 0.500
```

Summary:
Calculated total energy (eV/cell): -82.26
Formation energy (no corrections) (eV/f.u.): -9.0

[2]
A relaxed structure of Cd2AgRh, computed with PBE.

The structure in CIF format:
```
data_Cd2AgRh
_chemical_formula_sum 'Cd2 Ag1 Rh1'
_symmetry_space_group_name_H-M 'P 1 2/m 1'
_symmetry_Int_Tables_number 10
_cell_length_a 3.084
_cell_length_b 3.808
_cell_length_c 6.124
_cell_angle_alpha 90.00
_cell_angle_beta 90.09
_cell_angle_gamma 90.00
loop_
_symmetry_equiv_pos_as_xyz
'x,y,z'
'-x,-y,-z'
'-x,y,-z'
'x,-y,z'
loop_
_atom_site_label
_atom_site_fract_x
_atom_site_fract_y
_atom_site_fract_z
Cd1 0.001 0.000 0.236
Ag1 0.500 0.500 0.500
Rh1 0.500 0.500 0.000
```

Summary:
Calculated total energy (eV/cell): -12.35
ΔE_f (eV/atom): -0.0785

[3]
A relaxed structure of InCo2Mo, computed with PBE.

The structure in CIF format:
```
data_InCo2Mo
_chemical_formula_sum 'In4 Co8 Mo4'
_symmetry_space_group_name_H-M 'F -4 3 m'
_symmetry_Int_Tables_number 216
_symmetry_space_group_name_Hall 'F -4 2 3'
_cell_length_a 6.135
_cell_length_b 6.135
_cell_length_c 6.135
_cell_angle_alpha 90.00
_cell_angle_beta 90.00
_cell_angle_gamma 90.00
loop_
_atom_site_label
_atom_site_fract_x
_atom_site_fract_y
_atom_site_fract_z
In1 0.000 0.000 0.000
Co1 0.000 0.000 0.500
Co2 0.250 0.250 0.750
Mo1 0.250 0.250 0.250
```

Summary:
Calculated total energy (eV/cell): -103.78
ΔE_f (eV/atom): 0.4593